Entry 1:
An optimized crystal structure of LaMnSi2, computed with PBE.

```
data_LaMnSi2
_space_group_name_H-M_alt 'P 4/m m m'
_space_group_IT_number 123
_space_group_name_Hall '-P 4 2'
_cell_length_a 3.0685
_cell_length_b 3.0685
_cell_length_c 7.0298
_cell_angle_alpha 90.00
_cell_angle_beta 90.00
_cell_angle_gamma 90.00
loop_
_atom_site_label
_atom_site_fract_x
_atom_site_fract_y
_atom_site_fract_z
La1 0.0000 0.0000 0.0000
Mn1 0.0000 0.0000 0.5000
Si1 0.5000 0.5000 0.3233
```

Values from the calculation:
Calculated volume: 66.2 Å³ per cell
Raw total energy: -6.4936 eV/atom
Raw formation energy: -0.258 eV/atom

---

Entry 2:
An optimized crystal structure of Pr3Ga2Co2, computed with PBE.

```
data_Pr3Ga2Co2
_space_group_name_H-M_alt 'I m m m'
_space_group_IT_number 71
_space_group_name_Hall '-I 2 2'
_cell_length_a 4.2136
_cell_length_b 4.3500
_cell_length_c 17.6840
_cell_angle_alpha 90.00
_cell_angle_beta 90.00
_cell_angle_gamma 90.00
loop_
_atom_site_label
_atom_site_fract_x
_atom_site_fract_y
_atom_site_fract_z
Pr1 0.0000 0.0000 0.0000
Pr2 0.0000 0.5000 0.1768
Ga1 0.0000 0.5000 0.3672
Co1 0.0000 0.0000 0.4366
```

Values from the calculation:
Calculated volume: 324.1 Å³ per cell
E_form: -0.35 eV/atom
Raw total energy: -5.2953 eV/atom

---

Entry 3:
An optimized crystal structure of TaCo2P2, computed with PBE.

```
data_TaCo2P2
_space_group_name_H-M_alt 'C 1 2/m 1'
_space_group_IT_number 12
_cell_length_a 5.1158
_cell_length_b 5.1163
_cell_length_c 5.3066
_cell_angle_alpha 90.00
_cell_angle_beta 118.65
_cell_angle_gamma 90.00
loop_
_space_group_symop_operation_xyz
'x,y,z'
'-x,-y,-z'
'-x,y,-z'
'x,-y,z'
'x+1/2,y+1/2,z'
'-x+1/2,-y+1/2,-z'
'-x+1/2,y+1/2,-z'
'x+1/2,-y+1/2,z'
loop_
_atom_site_label
_atom_site_fract_x
_atom_site_fract_y
_atom_site_fract_z
Ta1 0.0000 0.0000 0.0000
Co1 0.0000 0.2502 0.5000
P1 0.1188 0.5000 0.2357
```

Values from the calculation:
Calculated volume: 121.9 Å³ per cell
E_form: -0.49 eV/atom
Raw total energy: -7.8646 eV/atom

---

Entry 4:
An optimized crystal structure of Mg2Sc5Ir2Au, computed with PBE.

```
data_Mg2Sc5Ir2Au
_space_group_name_H-M_alt 'P 4/m b m'
_space_group_IT_number 127
_space_group_name_Hall '-P 4 2ab'
_cell_length_a 10.9411
_cell_length_b 10.9411
_cell_length_c 3.5530
_cell_angle_alpha 90.00
_cell_angle_beta 90.00
_cell_angle_gamma 90.00
loop_
_atom_site_label
_atom_site_fract_x
_atom_site_fract_y
_atom_site_fract_z
Mg1 0.1730 0.3270 0.0000
Sc1 0.0000 0.5000 0.5000
Sc2 0.0738 0.7988 0.5000
Ir1 0.1306 0.6306 0.0000
Au1 0.0000 0.0000 0.0000
```

Values from the calculation:
Calculated volume: 425.3 Å³ per cell
E_form: -0.59 eV/atom
Raw total energy: -6.1775 eV/atom

---

Question: Look up the raw total energy of the third one.
Answer: -7.8646 eV/atom

---

Question: Among the records above, which one has the highest raw total energy?
Answer: Pr3Ga2Co2